Computed, not measured: MnVTcO6 after structural relaxation at the PBE with a Hubbard U level of DFT.

Properties
uncorrected energy = -7.688 eV/atom

Unit cell a=5.0663 b=5.0663 c=9.2122 alpha=90.00 beta=90.00 gamma=120.00
Site moments in Bohr magnetons follow the coordinates.
Atoms (fractional coordinates):
Mn 0.0000 0.0000 0.0000  4.56
Mn 0.0000 0.0000 0.5000  4.56
V 0.3333 0.6667 0.2500  0.67
V 0.6667 0.3333 0.7500  0.67
Tc 0.6667 0.3333 0.2500  1.47
Tc 0.3333 0.6667 0.7500  1.47
O 0.6382 0.6453 0.1357  0.00
O 0.0072 0.3618 0.1357  0.00
O 0.3618 0.0072 0.6357  0.00
O 0.9928 0.6382 0.8643  0.00
O 0.3547 0.3618 0.3643  0.00
O 0.0072 0.6453 0.3643  0.00
O 0.6453 0.0072 0.8643  0.00
O 0.6382 0.9928 0.3643  0.00
O 0.9928 0.3547 0.6357  0.00
O 0.3547 0.9928 0.1357  0.00
O 0.6453 0.6382 0.6357  0.00
O 0.3618 0.3547 0.8643  0.00